# MgTc2P | the Alexandria database | PBE | relaxed
data_MgTc2P
_chemical_formula_sum 'Mg3 Tc6 P3'
_cell_length_a 2.9381
_cell_length_b 2.9381
_cell_length_c 24.1648
_cell_angle_alpha 90.00
_cell_angle_beta 90.00
_cell_angle_gamma 120.00
_symmetry_space_group_name_H-M 'R -3 m'
_symmetry_Int_Tables_number 166
_symmetry_space_group_name_Hall '-R 3 2"'
loop_
_atom_site_label
_atom_site_type_symbol
_atom_site_fract_x
_atom_site_fract_y
_atom_site_fract_z
Mg1 Mg 0.0000 0.0000 0.0000
Tc1 Tc 0.0000 0.0000 0.2373
P1 P 0.0000 0.0000 0.5000
# - Energy relative to the lowest polymorph listed for this composition: 0.2587 eV/atom
# - Total magnetization: 0.0 μB/f.u.


# Pm2CdRh | the Alexandria database | PBE | relaxed
data_Pm2CdRh
_chemical_formula_sum 'Pm6 Cd3 Rh3'
_cell_length_a 4.0964
_cell_length_b 4.0964
_cell_length_c 23.7676
_cell_angle_alpha 90.00
_cell_angle_beta 90.00
_cell_angle_gamma 120.00
_symmetry_space_group_name_H-M 'R 3 m'
_symmetry_Int_Tables_number 160
_symmetry_space_group_name_Hall 'R 3 -2"'
loop_
_atom_site_label
_atom_site_type_symbol
_atom_site_fract_x
_atom_site_fract_y
_atom_site_fract_z
Pm1 Pm 0.0000 0.0000 0.0000
Pm2 Pm 0.0000 0.0000 0.2029
Cd1 Cd 0.0000 0.0000 0.4352
Rh1 Rh 0.0000 0.0000 0.6002
# - Energy relative to the lowest polymorph listed for this composition: 0.0814 eV/atom
# - Total magnetization: 0.0 μB/f.u.


# CsHg7Au2 | the Alexandria database | PBE | relaxed
data_CsHg7Au2
_chemical_formula_sum 'Cs2 Hg14 Au4'
_cell_length_a 9.8014
_cell_length_b 12.7406
_cell_length_c 5.5437
_cell_angle_alpha 90.00
_cell_angle_beta 90.00
_cell_angle_gamma 90.00
_symmetry_space_group_name_H-M 'C m m m'
_symmetry_Int_Tables_number 65
_symmetry_space_group_name_Hall '-C 2 2'
loop_
_atom_site_label
_atom_site_type_symbol
_atom_site_fract_x
_atom_site_fract_y
_atom_site_fract_z
Cs1 Cs 0.0000 0.0000 0.0000
Hg1 Hg 0.0000 0.2979 0.0000
Hg2 Hg 0.0000 0.5000 0.5000
Hg3 Hg 0.2133 0.1238 0.5000
Au1 Au 0.0000 0.2801 0.5000
# - Total magnetization: 0.0 μB/f.u.
# - E: -20.48 eV/cell


# SrYSb2 | the Alexandria database | PBE | relaxed
data_SrYSb2
_chemical_formula_sum 'Sr1 Y1 Sb2'
_cell_length_a 3.4776
_cell_length_b 3.4776
_cell_length_c 11.1070
_cell_angle_alpha 90.00
_cell_angle_beta 90.00
_cell_angle_gamma 90.00
_symmetry_space_group_name_H-M 'P 4 m m'
_symmetry_Int_Tables_number 99
_symmetry_space_group_name_Hall 'P 4 -2'
loop_
_atom_site_label
_atom_site_type_symbol
_atom_site_fract_x
_atom_site_fract_y
_atom_site_fract_z
Sr1 Sr 0.0000 0.0000 0.0000
Y1 Y 0.5000 0.5000 0.3039
Sb1 Sb 0.0000 0.0000 0.4893
Sb2 Sb 0.5000 0.5000 0.7828
# - Energy relative to the lowest polymorph listed for this composition: 0.7418 eV/atom
# - Total magnetization: 0.0 μB/f.u.
# - E_form (uncorrected): -219.7 meV per atom


# NaSmPt10 | the Alexandria database | PBE | relaxed
data_NaSmPt10
_chemical_formula_sum 'Na1 Sm1 Pt10'
_cell_length_a 4.4175
_cell_length_b 5.4058
_cell_length_c 9.2875
_cell_angle_alpha 90.00
_cell_angle_beta 90.00
_cell_angle_gamma 90.00
_symmetry_space_group_name_H-M 'P m m m'
_symmetry_Int_Tables_number 47
_symmetry_space_group_name_Hall '-P 2 2'
loop_
_atom_site_label
_atom_site_type_symbol
_atom_site_fract_x
_atom_site_fract_y
_atom_site_fract_z
Na1 Na 0.0000 0.0000 0.0000
Sm1 Sm 0.0000 0.5000 0.5000
Pt1 Pt 0.0000 0.0000 0.3313
Pt2 Pt 0.0000 0.5000 0.1649
Pt3 Pt 0.5000 0.0000 0.5000
Pt4 Pt 0.5000 0.2525 0.2529
Pt5 Pt 0.5000 0.5000 0.0000
# - Total magnetization: 0.0 μB/f.u.
# - E: -71.70 eV/cell


# NpInS2 | the Alexandria database | PBE | relaxed
data_NpInS2
_chemical_formula_sum 'Np3 In3 S6'
_cell_length_a 4.0244
_cell_length_b 4.0244
_cell_length_c 22.4471
_cell_angle_alpha 90.00
_cell_angle_beta 90.00
_cell_angle_gamma 120.00
_symmetry_space_group_name_H-M 'R -3 m'
_symmetry_Int_Tables_number 166
_symmetry_space_group_name_Hall '-R 3 2"'
loop_
_atom_site_label
_atom_site_type_symbol
_atom_site_fract_x
_atom_site_fract_y
_atom_site_fract_z
Np1 Np 0.0000 0.0000 0.0000
In1 In 0.0000 0.0000 0.5000
S1 S 0.0000 0.0000 0.2682
# - Energy relative to the lowest polymorph listed for this composition: 0.0000 eV/atom
# - Total magnetization: 4.0 μB/f.u.
# - E_form (uncorrected): -952.6 meV per atom